Entry from the Alexandria database: KBa3Bi after structural relaxation (PBE).

Calculated values
**Mass density**: 3.26 Mg/m³
**Energy relative to the elements**: -0.325 eV per atom
**Excess energy over the best structure of this formula in the dataset**: 0 meV per atom

Unit cell a=6.954 b=6.954 c=6.954 alpha=90.00 beta=90.00 gamma=90.00
Space group Pm-3m (No. 221)
Symmetry-distinct sites (fractional):
K 0.000 0.000 0.000 x1
Ba 0.000 0.500 0.500 x3
Bi 0.500 0.500 0.500 x1

=====

Entry from the Alexandria database: Zn2AsAu after structural relaxation (PBE).

Calculated values
**Mass density**: 9.59 Mg/m³
**Energy relative to the elements**: 0.104 eV per atom

Unit cell a=3.1427 b=3.1427 c=24.4535 alpha=90.00 beta=90.00 gamma=120.00
Space group R3m (No. 160, hexagonal axes)
Symmetry-distinct sites (fractional):
Zn 0.0000 0.0000 0.0000 x3
Zn 0.0000 0.0000 0.2559 x3
As 0.0000 0.0000 0.7516 x3
Au 0.0000 0.0000 0.5068 x3

=====

Entry from the Alexandria database: AlIn3Ag after structural relaxation (PBE).

Calculated values
**Mass density**: 5.26 Mg/m³
**Energy relative to the elements**: 0.436 eV per atom
**Excess energy over the best structure of this formula in the dataset**: 0 meV per atom

Unit cell a=5.329 b=5.329 c=5.329 alpha=90.00 beta=90.00 gamma=90.00
Space group Pm-3m (No. 221)
Symmetry-distinct sites (fractional):
Al 0.000 0.000 0.000 x1
In 0.000 0.500 0.500 x3
Ag 0.500 0.500 0.500 x1

=====

Entry from the Alexandria database: ReS2NCl after structural relaxation (PBE).

Calculated values
**Mass density**: 5.84 Mg/m³
**E_form (uncorrected)**: 0.45 eV/atom
**Excess energy over the best structure of this formula in the dataset**: 0 meV per atom

Unit cell a=4.743 b=4.743 c=3.788 alpha=90.00 beta=90.00 gamma=90.00
Space group P4/mmm (No. 123)
Symmetry-distinct sites (fractional):
Re 0.000 0.000 0.000 x1
S 0.000 0.500 0.000 x2
N 0.000 0.000 0.500 x1
Cl 0.500 0.500 0.500 x1